In2GaRu2 | meta-GGA SCAN | single point on PBEsol structure

a b c (Å): 4.0697 6.4787 6.4787
angles (deg): 90.00 90.00 90.00
Closest atoms and distances in Å follow each position.
Fractional positions:
Ga1 0.0000 0.0000 0.0000  4 Ru 2.48
Ga2 0.0000 0.5000 0.5000  4 Ru 2.48
Ru1 0.0000 0.8546 0.6454  2 Ga 2.48, 1 Ru 2.66, 2 In 2.70
Ru2 0.0000 0.3546 0.8546  2 Ga 2.48, 1 Ru 2.66, 2 In 2.70
Ru3 0.0000 0.6454 0.1454  2 Ga 2.48, 1 Ru 2.66, 2 In 2.70
Ru4 0.0000 0.1454 0.3546  2 Ga 2.48, 1 Ru 2.66, 2 In 2.70
In1 0.5000 0.8394 0.3394  6 Ru 2.70-2.84, 1 In 2.94
In2 0.5000 0.1606 0.6606  6 Ru 2.70-2.84, 1 In 2.94
In3 0.5000 0.3394 0.1606  6 Ru 2.70-2.84, 1 In 2.94
In4 0.5000 0.6606 0.8394  6 Ru 2.70-2.84, 1 In 2.94

Computed properties:
E_form in eV/atom: -0.16
Crystal system: tetragonal
Spin magnetization in μB per cell: 0.0